[1]
Compound: MnAlAg2Se4
Source: Alexandria
Functional: PBE-GGA
Structure: relaxed

The structure belongs to space group I-4 (No. 82); the cell edges are 5.9416, 5.9416 and 11.4717 Å and the angles 90.00°, 90.00° and 90.00°. The asymmetric unit holds Mn at (0.0000, 0.0000, 0.0000), Al at (0.0000, 0.5000, 0.7500), Ag at (0.0000, 0.0000, 0.5000), Ag at (0.0000, 0.5000, 0.2500) and Se at (0.2196, 0.2536, 0.8736).

The density of states at the Fermi level comes out at 3.0 states/eV/f.u.

[2]
Compound: MnAlSi2Ag
Source: Alexandria
Functional: PBE-GGA
Structure: relaxed

The structure belongs to space group P4/mmm (No. 123); the cell edges are 4.6499, 4.6499 and 4.7481 Å and the angles 90.00°, 90.00° and 90.00°. The asymmetric unit holds Mn at (0.0000, 0.0000, 0.0000), Al at (0.5000, 0.5000, 0.5000), Si at (0.0000, 0.5000, 0.5000) and Ag at (0.5000, 0.5000, 0.0000).

The density of states at the Fermi level comes out at 5.1 states/eV/f.u.

Number 1: ΔE_f (raw) -429 meV/atom. Number 2: ΔE_f (raw) 1445 meV/atom.